(1)
First-principles (GGA-PBE) data for a geometry-optimized La5Pm5Nd2 structure, as listed in the Alexandria database.

Results
polymorph energy (0 for the lowest one): 0.0000 eV/atom

CIF file:
```
data_La5Pm5Nd2
_space_group_name_H-M_alt 'C 1 2/m 1'
_space_group_IT_number 12
_space_group_name_Hall '-C 2y'
_cell_length_a 15.6569
_cell_length_b 5.2282
_cell_length_c 11.6964
_cell_angle_alpha 90.00
_cell_angle_beta 116.52
_cell_angle_gamma 90.00
loop_
_atom_site_label
_atom_site_type_symbol
_atom_site_fract_x
_atom_site_fract_y
_atom_site_fract_z
La1 La 0.0000 0.0000 0.0000
La2 La 0.1657 0.0000 0.4997
La3 La 0.2504 0.0000 0.2501
Pm1 Pm 0.0000 0.5000 0.5000
Pm2 Pm 0.0822 0.5000 0.2494
Pm3 Pm 0.1676 0.5000 0.0006
Nd1 Nd 0.0831 0.0000 0.7521
```

=====

(2)
First-principles (GGA-PBE) data for a geometry-optimized La2Pm3Nd4 structure, as listed in the Alexandria database.

Results
VASP energy: -4.72 eV per atom

CIF file:
```
data_La2Pm3Nd4
_space_group_name_H-M_alt 'C 1 2/m 1'
_space_group_IT_number 12
_space_group_name_Hall '-C 2y'
_cell_length_a 20.3152
_cell_length_b 3.6015
_cell_length_c 8.9193
_cell_angle_alpha 90.00
_cell_angle_beta 99.16
_cell_angle_gamma 90.00
loop_
_atom_site_label
_atom_site_type_symbol
_atom_site_fract_x
_atom_site_fract_y
_atom_site_fract_z
La1 La 0.1669 0.0000 0.0357
Pm1 Pm 0.0000 0.5000 0.0000
Pm2 Pm 0.1062 0.5000 0.3613
Nd1 Nd 0.0498 0.0000 0.6837
Nd2 Nd 0.2210 0.0000 0.6509
```

=====

(3)
First-principles (GGA-PBE) data for a geometry-optimized La6Pm5Nd structure, as listed in the Alexandria database.

Results
polymorph energy (0 for the lowest one): 0.0024 eV/atom

CIF file:
```
data_La6Pm5Nd
_space_group_name_H-M_alt 'I m m m'
_space_group_IT_number 71
_space_group_name_Hall '-I 2 2'
_cell_length_a 5.2554
_cell_length_b 10.3797
_cell_length_c 15.7454
_cell_angle_alpha 90.00
_cell_angle_beta 90.00
_cell_angle_gamma 90.00
loop_
_atom_site_label
_atom_site_type_symbol
_atom_site_fract_x
_atom_site_fract_y
_atom_site_fract_z
La1 La 0.0000 0.2494 0.0000
La2 La 0.0000 0.2503 0.3332
Pm1 Pm 0.0000 0.0000 0.1667
Pm2 Pm 0.0000 0.5000 0.1668
Pm3 Pm 0.0000 0.5000 0.5000
Nd1 Nd 0.0000 0.0000 0.5000
```

=====

One value per record, in order, for magnetic moment: 0.00, 0.00, 0.00 μB per atom.
One value per record, in order, for N(E_F): 44.9, 26.3, 44.2 states/eV/cell.